Entry 1:
A plane-wave DFT calculation with PBE was carried out for a geometry-optimized Sc5Ni structure.

As for the energy of formation from the pure elements: 0.0207 eV/atom. Its crystal system is hexagonal.

It has space group P-62m (No. 189), with a = 5.5620 Å, b = 5.5620 Å, c = 4.7390 Å, α = 90.00°, β = 90.00° and γ = 120.00°. The inequivalent atoms are Sc at (0.0000, 0.6979, 0.0000), Sc at (0.3333, 0.6667, 0.5000) and Ni at (0.0000, 0.0000, 0.5000).

Entry 2:
A plane-wave DFT calculation with PBE was carried out for a geometry-optimized RhPb2 structure.

As for the energy of formation from the pure elements: -0.0493 eV/atom. Its crystal system is monoclinic.

It has space group C2/m (No. 12), with a = 10.3912 Å, b = 3.8432 Å, c = 8.2354 Å, α = 90.00°, β = 120.52° and γ = 90.00°. The inequivalent atoms are Rh at (0.1407, 0.0000, 0.1834), Pb at (0.0899, 0.5000, 0.8813) and Pb at (0.1662, 0.0000, 0.5701).

Entry 3:
A plane-wave DFT calculation with PBE was carried out for a geometry-optimized LiLa3Ho2Te6 structure.

The calculation puts the formation energy without anion corrections at -138 kJ/mol of atoms. Its crystal system is monoclinic.

It has space group C2/m (No. 12), with a = 19.4152 Å, b = 4.4498 Å, c = 8.9037 Å, α = 90.00°, β = 103.24° and γ = 90.00°. The inequivalent atoms are Li at (0.0000, 0.0000, 0.0000), La at (0.0000, 0.0000, 0.5000), La at (0.1658, 0.5000, 0.8324), Ho at (0.1668, 0.5000, 0.3375), Te at (0.0046, 0.5000, 0.2348), Te at (0.1607, 0.0000, 0.0934) and Te at (0.1701, 0.0000, 0.5754).

Entry 4:
A plane-wave DFT calculation with PBE was carried out for a geometry-optimized La2InSn2Rh5 structure.

As for the energy of formation from the pure elements: -0.5408 eV/atom. Its crystal system is tetragonal.

It has space group P4/mbm (No. 127), with a = 10.4529 Å, b = 10.4529 Å, c = 3.7340 Å, α = 90.00°, β = 90.00° and γ = 90.00°. The inequivalent atoms are La at (0.1727, 0.3273, 0.0000), In at (0.0000, 0.0000, 0.0000), Sn at (0.1258, 0.6258, 0.0000), Rh at (0.0000, 0.5000, 0.5000) and Rh at (0.0598, 0.7955, 0.5000).

Entry 5:
A plane-wave DFT calculation with PBE was carried out for a geometry-optimized Hf2VRe structure.

As for the energy of formation from the pure elements: -0.1290 eV/atom. Its crystal system is tetragonal.

It has space group P4/mmm (No. 123), with a = 4.6440 Å, b = 4.6440 Å, c = 3.3216 Å, α = 90.00°, β = 90.00° and γ = 90.00°. The inequivalent atoms are Hf at (0.0000, 0.5000, 0.0000), V at (0.0000, 0.0000, 0.5000) and Re at (0.5000, 0.5000, 0.5000).

Number 1: DOS at the Fermi energy 8.105 states/eV per cell. Number 2: DOS at the Fermi energy 5.885 states/eV per cell. Number 3: DOS at the Fermi energy 10.580 states/eV per cell. Number 4: DOS at the Fermi energy 8.287 states/eV per cell. Number 5: DOS at the Fermi energy 3.032 states/eV per cell.